1.
## Cs2NaI7 (PBE)

Data for an optimized crystal structure of Cs2NaI7.

Output
DFT total energy: -2.1492 eV/atom

Cell lengths 8.7189, 8.7189, 13.8017 Å; angles 90.00, 90.00, 90.00 degrees
Last column: nearest neighbours and their distance in Å.
Space group I4/mmm (No. 139)
Inequivalent atoms, fractional coordinates:
Cs (0.0000, 0.5000, 0.2500)  12 I 4.39-4.63
Na (0.0000, 0.0000, 0.0000)  6 I 2.96-3.24
I (0.0000, 0.0000, 0.2147)  1 Na 2.96
I (0.0000, 0.0000, 0.5000)  4 I 2.93
I (0.2374, 0.2374, 0.5000)  1 I 2.93, 1 Na 3.24

***

2.
## CsNaNbI6 (PBE)

Data for an optimized crystal structure of CsNaNbI6.

Output
DFT total energy: -3.2292 eV/atom

Cell lengths 7.9964, 7.9964, 16.7200 Å; angles 90.00, 90.00, 120.00 degrees
Last column: nearest neighbours and their distance in Å.
Space group P-31c (No. 163)
Inequivalent atoms, fractional coordinates:
Cs (0.0000, 0.0000, 0.0000)  6 I 3.91
Na (0.3333, 0.6667, 0.2500)  6 I 3.22
Nb (0.3333, 0.6667, 0.7500)  6 I 2.83
I (0.0370, 0.3895, 0.6514)  1 Nb 2.83

***

3.
## CsNaNd2I8 (PBE)

Data for an optimized crystal structure of CsNaNd2I8.

Output
DFT total energy: -3.3836 eV/atom

Cell lengths 8.2479, 8.2479, 9.5864 Å; angles 90.00, 90.00, 120.00 degrees
Last column: nearest neighbours and their distance in Å.
Space group P-3 (No. 147)
Inequivalent atoms, fractional coordinates:
Cs (0.0000, 0.0000, 0.0000)  12 I 4.35-4.84, 2 Na 4.79
Na (0.0000, 0.0000, 0.5000)  6 I 3.20
Nd (0.3333, 0.6667, 0.4075)  7 I 3.04-3.33
I (0.0645, 0.3712, 0.6554)  2 Nd 3.19-3.33, 1 Na 3.20
I (0.3333, 0.6667, 0.0902)  1 Nd 3.04

***

4.
## Cs2NaNdI6 (PBE)

Data for an optimized crystal structure of Cs2NaNdI6.

Output
DFT total energy: -3.1623 eV/atom

Cell lengths 8.8709, 12.5477, 8.8758 Å; angles 90.00, 90.00, 90.00 degrees
Last column: nearest neighbours and their distance in Å.
Space group Pmmn (No. 59, origin choice 2)
Inequivalent atoms, fractional coordinates:
Cs (0.2500, 0.0006, 0.2493)  12 I 4.42-4.46
Na (0.2500, 0.2500, 0.7499)  6 I 3.16-3.17
Nd (0.2500, 0.7500, 0.7503)  6 I 3.11
I (0.0021, 0.7500, 0.5027)  1 Nd 3.11, 1 Na 3.17
I (0.0021, 0.7500, 0.9978)  1 Nd 3.11, 1 Na 3.16
I (0.2500, 0.5022, 0.7513)  1 Nd 3.11, 1 Na 3.16

***

5.
## CsNa2NdI6 (PBE)

Data for an optimized crystal structure of CsNa2NdI6.

Output
DFT total energy: -3.1262 eV/atom

Cell lengths 8.3407, 8.3407, 23.1894 Å; angles 90.00, 90.00, 120.00 degrees
Last column: nearest neighbours and their distance in Å.
Space group R3 (No. 146, hexagonal axes)
Inequivalent atoms, fractional coordinates:
Cs (0.0000, 0.0000, 0.0000)  6 I 3.77-4.06
Na (0.0000, 0.0000, 0.2009)  6 I 3.22-3.31
Na (0.0000, 0.0000, 0.7202)  6 I 3.29-3.36
Nd (0.0000, 0.0000, 0.5292)  6 I 3.15-3.16
I (0.0103, 0.3427, 0.1258)  1 Nd 3.15, 2 Na 3.29-3.31
I (0.1045, 0.7589, 0.2852)  1 Nd 3.16, 2 Na 3.22-3.36

***

6.
## Cs3Na2NdI9 (PBE)

Data for an optimized crystal structure of Cs3Na2NdI9.

Output
DFT total energy: -2.8823 eV/atom

Cell lengths 8.7149, 8.7149, 11.1603 Å; angles 90.00, 90.00, 120.00 degrees
Last column: nearest neighbours and their distance in Å.
Space group P-3m1 (No. 164)
Inequivalent atoms, fractional coordinates:
Cs (0.0000, 0.0000, 0.0000)  12 I 4.36-4.53
Cs (0.3333, 0.6667, 0.6851)  12 I 4.32-4.63
Na (0.3333, 0.6667, 0.1647)  6 I 3.12-3.17
Nd (0.0000, 0.0000, 0.5000)  6 I 3.10
I (0.0000, 0.5000, 0.0000)  2 Na 3.12
I (0.1665, 0.3331, 0.3374)  1 Nd 3.10, 1 Na 3.17

***

7.
## CsNaNiI4 (PBE)

Data for an optimized crystal structure of CsNaNiI4.

Output
DFT total energy: -2.8155 eV/atom

Cell lengths 7.1059, 8.2513, 10.6816 Å; angles 90.00, 107.66, 90.00 degrees
Last column: nearest neighbours and their distance in Å.
Space group P2_1/m (No. 11)
Inequivalent atoms, fractional coordinates:
Cs (0.2484, 0.2500, 0.4322)  9 I 3.95-4.16, 1 Ni 4.42
Na (0.3282, 0.2500, 0.9779)  5 I 3.20-3.29
Ni (0.2794, 0.7500, 0.1873)  4 I 2.54-2.59
I (0.0755, 0.7500, 0.9470)  1 Ni 2.54
I (0.1713, 0.7500, 0.3954)  1 Ni 2.56
I (0.4766, 0.0089, 0.7837)  1 Ni 2.59

***

8.
## CsNaNp2I8 (PBE)

Data for an optimized crystal structure of CsNaNp2I8.

Output
DFT total energy: -4.3718 eV/atom

Cell lengths 8.2671, 8.2671, 9.4240 Å; angles 90.00, 90.00, 120.00 degrees
Last column: nearest neighbours and their distance in Å.
Space group P-3 (No. 147)
Inequivalent atoms, fractional coordinates:
Cs (0.0000, 0.0000, 0.0000)  6 I 4.30, 2 Na 4.71
Na (0.0000, 0.0000, 0.5000)  6 I 3.19
Np (0.3333, 0.6667, 0.4125)  7 I 3.03-3.29
I (0.0614, 0.3690, 0.6563)  1 Na 3.19, 2 Np 3.19-3.29
I (0.3333, 0.6667, 0.0908)  1 Np 3.03

***

9.
## Cs3Na2NpI9 (PBE)

Data for an optimized crystal structure of Cs3Na2NpI9.

Output
DFT total energy: -3.3500 eV/atom

Cell lengths 8.8796, 8.8796, 10.8840 Å; angles 90.00, 90.00, 120.00 degrees
Last column: nearest neighbours and their distance in Å.
Space group P-3m1 (No. 164)
Inequivalent atoms, fractional coordinates:
Cs (0.0000, 0.0000, 0.0000)  12 I 4.44-4.45
Cs (0.3333, 0.6667, 0.7299)  3 I 3.90
Na (0.3333, 0.6667, 0.1492)  6 I 3.03-3.39
Np (0.0000, 0.0000, 0.5000)  6 I 3.00
I (0.0000, 0.5000, 0.0000)  2 Na 3.03
I (0.1597, 0.3193, 0.3410)  1 Np 3.00

***

10.
## Cs3Na2IO6 (PBE)

Data for an optimized crystal structure of Cs3Na2IO6.

Output
DFT total energy: -4.1633 eV/atom

Cell lengths 6.2602, 11.0388, 6.8188 Å; angles 90.00, 105.86, 90.00 degrees
Last column: nearest neighbours and their distance in Å.
Space group C2/m (No. 12)
Inequivalent atoms, fractional coordinates:
Cs (0.0000, 0.0000, 0.0000)  6 O 2.95-3.27
Cs (0.0000, 0.3248, 0.0000)  4 O 2.90-2.92
Na (0.0000, 0.1664, 0.5000)  6 O 2.53-2.71
I (0.0000, 0.5000, 0.5000)  6 O 1.94-1.95
O (0.1859, 0.3743, 0.6595)  1 I 1.94
O (0.1911, 0.5000, 0.3170)  1 I 1.95

***

11.
## Cs2Na2IO6 (PBE)

Data for an optimized crystal structure of Cs2Na2IO6.

Output
DFT total energy: -4.3007 eV/atom

Cell lengths 6.3007, 10.1528, 7.2133 Å; angles 90.00, 111.84, 90.00 degrees
Last column: nearest neighbours and their distance in Å.
Space group C2/m (No. 12)
Inequivalent atoms, fractional coordinates:
Cs (0.0000, 0.1799, 0.0000)  6 O 2.98-3.11
Na (0.0000, 0.3404, 0.5000)  6 O 2.44-2.68
I (0.0000, 0.0000, 0.5000)  6 O 1.91
O (0.1874, 0.1346, 0.6678)  1 I 1.91
O (0.1947, 0.0000, 0.3498)  1 I 1.91

***

12.
## CsNaIO4 (PBE)

Data for an optimized crystal structure of CsNaIO4.

Output
DFT total energy: -4.2888 eV/atom

Cell lengths 6.0630, 6.3891, 8.6969 Å; angles 90.00, 108.85, 90.00 degrees
Last column: nearest neighbours and their distance in Å.
Space group P2_1/m (No. 11)
Inequivalent atoms, fractional coordinates:
Cs (0.0796, 0.2500, 0.1588)  4 O 2.93-3.15
Na (0.1897, 0.7500, 0.4770)  4 O 2.38-2.63
I (0.3926, 0.2500, 0.6982)  4 O 1.82-1.94
O (0.1970, 0.0173, 0.6803)  1 I 1.88
O (0.2726, 0.7500, 0.1982)  1 I 1.94
O (0.4051, 0.2500, 0.4917)  1 I 1.82

***

13.
## Cs3NaI2O9 (PBE)

Data for an optimized crystal structure of Cs3NaI2O9.

Output
DFT total energy: -4.2455 eV/atom

Cell lengths 6.2636, 6.2636, 7.7622 Å; angles 90.00, 90.00, 120.00 degrees
Last column: nearest neighbours and their distance in Å.
Space group P-3m1 (No. 164)
Inequivalent atoms, fractional coordinates:
Cs (0.0000, 0.0000, 0.0000)  12 O 3.06-3.13
Cs (0.3333, 0.6667, 0.6579)  12 O 3.16-3.24
Na (0.0000, 0.0000, 0.5000)  6 O 2.61
I (0.3333, 0.6667, 0.1652)  3 O 1.85
O (0.0000, 0.5000, 0.0000)  2 I 2.22
O (0.1887, 0.3774, 0.2923)  1 I 1.85

***

14.
## CsNaIO2 (PBE)

Data for an optimized crystal structure of CsNaIO2.

Output
DFT total energy: -3.0189 eV/atom

Cell lengths 5.1703, 5.1703, 6.1343 Å; angles 90.00, 90.00, 90.00 degrees
Last column: nearest neighbours and their distance in Å.
Space group P4/mmm (No. 123)
Inequivalent atoms, fractional coordinates:
Cs (0.0000, 0.0000, 0.0000)  4 I 3.66, 8 O 4.01
Na (0.5000, 0.5000, 0.5000)  4 O 2.59
I (0.5000, 0.5000, 0.0000)  2 Na 3.07
O (0.0000, 0.5000, 0.5000)  2 Na 2.59

***

15.
## CsNaIO2 (PBE)

Data for an optimized crystal structure of CsNaIO2.

Output
DFT total energy: -2.8261 eV/atom

Cell lengths 4.4346, 4.4346, 7.8278 Å; angles 90.00, 90.00, 90.00 degrees
Last column: nearest neighbours and their distance in Å.
Space group P4/mmm (No. 123)
Inequivalent atoms, fractional coordinates:
Cs (0.0000, 0.0000, 0.0000)  4 O 2.22
Na (0.5000, 0.5000, 0.5000)  4 I 3.14
I (0.0000, 0.0000, 0.5000)  4 Na 3.14
O (0.0000, 0.5000, 0.0000)  2 Cs 2.22

***

16.
## Cs2NaOsI6 (PBE)

Data for an optimized crystal structure of Cs2NaOsI6.

Output
DFT total energy: -3.0833 eV/atom

Cell lengths 11.8397, 11.8397, 11.8397 Å; angles 90.00, 90.00, 90.00 degrees
Last column: nearest neighbours and their distance in Å.
Space group Fm-3m (No. 225)
Inequivalent atoms, fractional coordinates:
Cs (0.2500, 0.2500, 0.2500)  12 I 4.19
Na (0.0000, 0.0000, 0.0000)  6 I 3.19
Os (0.0000, 0.0000, 0.5000)  6 I 2.73
I (0.0000, 0.0000, 0.2698)  1 Os 2.73

***

17.
## CsNa2PaI8 (PBE)

Data for an optimized crystal structure of CsNa2PaI8.

Output
DFT total energy: -3.2350 eV/atom

Cell lengths 6.8963, 8.6741, 11.5234 Å; angles 71.37, 78.17, 87.77 degrees
Last column: nearest neighbours and their distance in Å.
Space group P-1 (No. 2)
Inequivalent atoms, fractional coordinates:
Cs (0.0000, 0.0000, 0.0000)  6 I 4.01-4.34
Na (0.4167, 0.4844, 0.1779)  3 I 3.04-3.28
Pa (0.0000, 0.5000, 0.5000)  6 I 2.93-2.99
I (0.1312, 0.4853, 0.7352)  1 Pa 2.99
I (0.2650, 0.2370, 0.4635)  1 Pa 2.95, 1 Na 3.28
I (0.3037, 0.7491, 0.3447)  1 Pa 2.93
I (0.4833, 0.2195, 0.0550)  2 Na 3.04

***

18.
## Cs2NaPaI6 (PBE)

Data for an optimized crystal structure of Cs2NaPaI6.

Output
DFT total energy: -3.3699 eV/atom

Cell lengths 8.7866, 8.7866, 44.9263 Å; angles 90.00, 90.00, 120.00 degrees
Last column: nearest neighbours and their distance in Å.
Space group R-3m (No. 166, hexagonal axes)
Inequivalent atoms, fractional coordinates:
Cs (0.0000, 0.0000, 0.1302)  12 I 4.27-4.77
Cs (0.0000, 0.0000, 0.2964)  12 I 4.29-4.72
Na (0.0000, 0.0000, 0.4160)  6 I 3.16-3.23
Pa (0.0000, 0.0000, 0.0000)  6 I 3.13
Pa (0.0000, 0.0000, 0.5000)  6 I 3.15
I (0.0017, 0.5009, 0.2930)  1 Pa 3.13, 1 Na 3.16
I (0.0046, 0.5023, 0.8739)  1 Pa 3.15, 1 Na 3.23

***

19.
## CsNaPaI6 (PBE)

Data for an optimized crystal structure of CsNaPaI6.

Output
DFT total energy: -3.5121 eV/atom

Cell lengths 8.1937, 8.1937, 17.1407 Å; angles 90.00, 90.00, 120.00 degrees
Last column: nearest neighbours and their distance in Å.
Space group P-31c (No. 163)
Inequivalent atoms, fractional coordinates:
Cs (0.0000, 0.0000, 0.0000)  6 I 3.92
Na (0.3333, 0.6667, 0.2500)  6 I 3.26
Pa (0.3333, 0.6667, 0.7500)  6 I 3.05
I (0.0196, 0.3768, 0.6463)  1 Pa 3.05, 1 Na 3.26